DFT (GGA-PBE) results for crystalline IrRhW at its relaxed geometry.

a = 5.9850 Å, b = 5.9850 Å, c = 5.9850 Å
α = 90.00°, β = 90.00°, γ = 90.00°
Closest atoms and distances in Å follow each position.
Positions (direct):
Ir (0.0000, 0.0000, 0.0000)  4 W 2.59, 4 Rh 2.59
Ir (0.0000, 0.5000, 0.5000)  4 W 2.59, 4 Rh 2.59
Ir (0.5000, 0.0000, 0.5000)  4 W 2.59, 4 Rh 2.59
Ir (0.5000, 0.5000, 0.0000)  4 W 2.59, 4 Rh 2.59
Rh (0.2500, 0.2500, 0.2500)  4 Ir 2.59
Rh (0.2500, 0.7500, 0.7500)  4 Ir 2.59
Rh (0.7500, 0.2500, 0.7500)  4 Ir 2.59
Rh (0.7500, 0.7500, 0.2500)  4 Ir 2.59
W (0.2500, 0.2500, 0.7500)  4 Ir 2.59
W (0.2500, 0.7500, 0.2500)  4 Ir 2.59
W (0.7500, 0.2500, 0.2500)  4 Ir 2.59
W (0.7500, 0.7500, 0.7500)  4 Ir 2.59

## Properties
* energy relative to the elements: 0.50 eV/atom
* symmetry: F-43m (216)
* crystal system: cubic